Material: AlZnCu2
Method: DFT, PBE-GGA
State: relaxed

**Spin magnetization**: 0.00 Bohr magnetons per cell
**DFT formation energy**: -0.3 eV/f.u.
**DOS at the Fermi energy**: 1.8 states/eV/f.u.

Cell lengths 8.512, 8.512, 8.512 Å; angles 18.38, 18.38, 18.38 degrees
Element x y z (fractional)
Al1 0.750 0.750 0.750
Cu1 0.001 0.001 0.001
Cu2 0.499 0.499 0.499
Zn1 0.250 0.250 0.250


Material: RhAuS2
Method: DFT, PBE-GGA
State: relaxed

**Formation energy from raw total energies**: 1.7 eV/f.u.
**Spin magnetization**: 0.00 Bohr magnetons per cell
**DOS at the Fermi energy**: 3.3 states/eV/f.u.

Cell lengths 6.258, 6.258, 5.454 Å; angles 54.99, 54.99, 90.00 degrees
Element x y z (fractional)
Rh1 0.250 0.250 0.500
Rh2 0.750 0.750 0.500
S1 0.249 0.251 0.000
S2 0.749 0.249 0.000
S3 0.751 0.749 0.000
S4 0.251 0.751 0.000
Au1 0.750 0.250 0.500
Au2 0.250 0.750 0.500


Q: The lowest DOS at the Fermi energy belongs to which entry?
A: AlZnCu2